(1)
DFT (PBE) results for crystalline Dy2YReO8 at its relaxed geometry.

abc: 7.094 7.179 6.761
angles: 90.00 90.00 90.00
Space group Cmmm (No. 65)
One atom of each set of equivalent atoms:
Dy (0.000, 0.000, 0.248) (multiplicity 4)
Y (0.000, 0.500, 0.000) (multiplicity 2)
Re (0.000, 0.500, 0.500) (multiplicity 2)
O (0.000, 0.318, 0.294) (multiplicity 8)
O (0.193, 0.000, 0.000) (multiplicity 4)
O (0.232, 0.000, 0.500) (multiplicity 4)


(2)
DFT (PBE) results for crystalline DyY2ReO8 at its relaxed geometry.

abc: 7.102 7.196 6.753
angles: 90.00 90.00 90.00
Space group Cmmm (No. 65)
One atom of each set of equivalent atoms:
Dy (0.000, 0.000, 0.000) (multiplicity 2)
Y (0.000, 0.500, 0.248) (multiplicity 4)
Re (0.000, 0.000, 0.500) (multiplicity 2)
O (0.000, 0.181, 0.293) (multiplicity 8)
O (0.194, 0.500, 0.000) (multiplicity 4)
O (0.232, 0.500, 0.500) (multiplicity 4)


(3)
DFT (PBE) results for crystalline Dy4Rh2O at its relaxed geometry.

abc: 4.570 4.570 14.490
angles: 90.00 90.00 90.00
Space group I4/mmm (No. 139)
One atom of each set of equivalent atoms:
Dy (0.000, 0.000, 0.185) (multiplicity 4)
Dy (0.000, 0.500, 0.000) (multiplicity 4)
Rh (0.000, 0.000, 0.370) (multiplicity 4)
O (0.000, 0.000, 0.000) (multiplicity 2)


(4)
DFT (PBE) results for crystalline DyRhO4 at its relaxed geometry.

abc: 11.028 5.177 5.340
angles: 90.00 110.37 90.00
Space group C2/c (No. 15)
One atom of each set of equivalent atoms:
Dy (0.000, 0.225, 0.250) (multiplicity 4)
Rh (0.250, 0.250, 0.000) (multiplicity 4)
O (0.095, 0.417, 0.961) (multiplicity 8)
O (0.159, 0.042, 0.648) (multiplicity 8)


(5)
DFT (PBE) results for crystalline Dy6Rh2O at its relaxed geometry.

abc: 6.329 7.046 11.269
angles: 90.00 122.69 90.00
Space group P2_1/c (No. 14)
One atom of each set of equivalent atoms:
Dy (0.118, 0.036, 0.243) (multiplicity 4)
Dy (0.236, 0.682, 0.062) (multiplicity 4)
Dy (0.376, 0.173, 0.060) (multiplicity 4)
Rh (0.303, 0.106, 0.754) (multiplicity 4)
O (0.000, 0.000, 0.000) (multiplicity 2)


(6)
DFT (PBE) results for crystalline DyRh4O8 at its relaxed geometry.

abc: 6.2432 6.2432 15.1553
angles: 90.00 90.00 120.00
Space group R-3m (No. 166, hexagonal axes)
One atom of each set of equivalent atoms:
Dy (0.0000, 0.0000, 0.0000) (multiplicity 3)
Rh (0.0000, 0.0000, 0.5000) (multiplicity 3)
Rh (0.0000, 0.5000, 0.5000) (multiplicity 9)
O (0.0000, 0.0000, 0.2269) (multiplicity 6)
O (0.0019, 0.5010, 0.7648) (multiplicity 18)


(7)
DFT (PBE) results for crystalline Dy2Rh2O7 at its relaxed geometry.

abc: 8.100 6.829 4.927
angles: 90.00 92.72 90.00
Space group C2/m (No. 12)
One atom of each set of equivalent atoms:
Dy (0.000, 0.247, 0.000) (multiplicity 4)
Rh (0.248, 0.500, 0.527) (multiplicity 4)
O (0.000, 0.500, 0.500) (multiplicity 2)
O (0.045, 0.000, 0.259) (multiplicity 4)
O (0.238, 0.221, 0.746) (multiplicity 8)


(8)
DFT (PBE) results for crystalline Dy2Rh2O7 at its relaxed geometry.

abc: 10.220 10.220 10.220
angles: 90.00 90.00 90.00
Space group Fd-3m (No. 227, origin choice 2)
One atom of each set of equivalent atoms:
Dy (0.000, 0.000, 0.000) (multiplicity 16)
Rh (0.000, 0.000, 0.500) (multiplicity 16)
O (0.087, 0.375, 0.875) (multiplicity 48)
O (0.125, 0.125, 0.125) (multiplicity 8)


(9)
DFT (PBE) results for crystalline Dy5Rh2O12 at its relaxed geometry.

abc: 12.352 5.931 7.283
angles: 90.00 107.23 90.00
Space group C2/m (No. 12)
One atom of each set of equivalent atoms:
Dy (0.000, 0.000, 0.000) (multiplicity 2)
Dy (0.191, 0.500, 0.329) (multiplicity 4)
Dy (0.198, 0.500, 0.860) (multiplicity 4)
Rh (0.000, 0.247, 0.500) (multiplicity 4)
O (0.000, 0.000, 0.317) (multiplicity 4)
O (0.000, 0.500, 0.310) (multiplicity 4)
O (0.152, 0.249, 0.074) (multiplicity 8)
O (0.166, 0.265, 0.585) (multiplicity 8)


(10)
DFT (PBE) results for crystalline DyRh3O6 at its relaxed geometry.

abc: 7.198 10.130 3.301
angles: 90.00 90.00 90.00
Space group Cmmm (No. 65)
One atom of each set of equivalent atoms:
Dy (0.000, 0.000, 0.000) (multiplicity 2)
Rh (0.000, 0.500, 0.000) (multiplicity 2)
Rh (0.250, 0.250, 0.500) (multiplicity 4)
O (0.000, 0.154, 0.500) (multiplicity 4)
O (0.204, 0.369, 0.000) (multiplicity 8)


(11)
DFT (PBE) results for crystalline Dy3RhO6 at its relaxed geometry.

abc: 9.5420 9.5420 10.6413
angles: 90.00 90.00 120.00
Space group R-3 (No. 148, hexagonal axes)
One atom of each set of equivalent atoms:
Dy (0.0439, 0.7777, 0.1980) (multiplicity 18)
Rh (0.0000, 0.0000, 0.0000) (multiplicity 3)
Rh (0.0000, 0.0000, 0.5000) (multiplicity 3)
O (0.0292, 0.8401, 0.8839) (multiplicity 18)
O (0.0298, 0.8212, 0.4027) (multiplicity 18)


(12)
DFT (PBE) results for crystalline Dy12Rh3O5 at its relaxed geometry.

abc: 15.132 15.132 15.132
angles: 90.00 90.00 90.00
Space group Ia-3d (No. 230)
One atom of each set of equivalent atoms:
Dy (0.033, 0.056, 0.651) (multiplicity 96)
Rh (0.000, 0.250, 0.125) (multiplicity 24)
O (0.000, 0.000, 0.000) (multiplicity 16)
O (0.000, 0.250, 0.375) (multiplicity 24)


(13)
DFT (PBE) results for crystalline Dy6RhO12 at its relaxed geometry.

abc: 9.8098 9.8098 9.3918
angles: 90.00 90.00 120.00
Space group R-3 (No. 148, hexagonal axes)
One atom of each set of equivalent atoms:
Dy (0.0438, 0.2561, 0.1441) (multiplicity 18)
Rh (0.0000, 0.0000, 0.5000) (multiplicity 3)
O (0.0340, 0.2235, 0.9012) (multiplicity 18)
O (0.0413, 0.1892, 0.3887) (multiplicity 18)


(14)
DFT (PBE) results for crystalline DyTl2RhO6 at its relaxed geometry.

abc: 5.7079 5.7079 14.6676
angles: 90.00 90.00 120.00
Space group R3 (No. 146, hexagonal axes)
One atom of each set of equivalent atoms:
Dy (0.0000, 0.0000, 0.0000) (multiplicity 3)
Tl (0.0000, 0.0000, 0.2634) (multiplicity 3)
Tl (0.0000, 0.0000, 0.7782) (multiplicity 3)
Rh (0.0000, 0.0000, 0.4916) (multiplicity 3)
O (0.0078, 0.3942, 0.2327) (multiplicity 9)
O (0.0693, 0.6989, 0.0747) (multiplicity 9)


(15)
DFT (PBE) results for crystalline DyZnRhO4 at its relaxed geometry.

abc: 5.957 8.955 7.146
angles: 90.00 90.00 90.00
Space group Cmcm (No. 63)
One atom of each set of equivalent atoms:
Dy (0.000, 0.000, 0.000) (multiplicity 4)
Zn (0.000, 0.363, 0.250) (multiplicity 4)
Rh (0.000, 0.308, 0.750) (multiplicity 4)
O (0.000, 0.257, 0.011) (multiplicity 8)
O (0.246, 0.009, 0.250) (multiplicity 8)


(16)
DFT (PBE) results for crystalline DyRuO4 at its relaxed geometry.

abc: 7.569 5.288 7.422
angles: 90.00 99.49 90.00
Space group P2_1/c (No. 14)
One atom of each set of equivalent atoms:
Dy (0.147, 0.216, 0.394) (multiplicity 4)
Ru (0.342, 0.730, 0.199) (multiplicity 4)
O (0.113, 0.514, 0.173) (multiplicity 4)
O (0.180, 0.005, 0.124) (multiplicity 4)
O (0.334, 0.634, 0.944) (multiplicity 4)
O (0.437, 0.100, 0.808) (multiplicity 4)


no.,magnetic moment (Bohr magnetons per cell),formation energy from raw total energies (kcal/mol of atoms)
1,0.0,-64.3
2,0.0,-64.0
3,0.0,-29.3
4,4.2,-39.8
5,0.0,-25.3
6,2.0,-27.4
7,0.0,-38.9
8,11.5,-47.8
9,6.1,-60.3
10,2.0,-32.2
11,0.0,-65.9
12,0.0,-38.2
13,9.3,-67.6
14,0.0,-31.6
15,9.7,-36.4
16,0.0,-46.5